[1]
{"formula": "NaTcAgSe3", "functional": "PBE", "state": "relaxed", "lattice_angstrom": [[-11.9271, -4.4528, 2.9783], [1.3699, -1.5725, 3.1348], [-1.9614, 8.7689, 5.2557]], "species": ["Ag", "Ag", "Ag", "Ag", "Na", "Na", "Na", "Na", "Se", "Se", "Se", "Se", "Se", "Se", "Se", "Se", "Se", "Se", "Se", "Se", "Tc", "Tc", "Tc", "Tc"], "frac_coords": [[0.9694, 0.2500, 0.0942], [0.4694, 0.2500, 0.4058], [0.5306, 0.7500, 0.5942], [0.0306, 0.7500, 0.9058], [0.7679, 0.7500, 0.0662], [0.2679, 0.7500, 0.4338], [0.7321, 0.2500, 0.5662], [0.2321, 0.2500, 0.9338], [0.5865, 0.2500, 0.0592], [0.1156, 0.7500, 0.1476], [0.3585, 0.2500, 0.2056], [0.8585, 0.2500, 0.2944], [0.6156, 0.7500, 0.3524], [0.0865, 0.2500, 0.4408], [0.9135, 0.7500, 0.5592], [0.3844, 0.2500, 0.6476], [0.1415, 0.7500, 0.7056], [0.6415, 0.7500, 0.7944], [0.8844, 0.2500, 0.8524], [0.4135, 0.7500, 0.9408], [0.4919, 0.7500, 0.1729], [0.9919, 0.7500, 0.3271], [0.0081, 0.2500, 0.6729], [0.5081, 0.2500, 0.8271]], "energy_ev_per_atom": -4.49}

=====

[2]
{"formula": "NaTcAgSe3", "functional": "PBE", "state": "relaxed", "lattice_angstrom": [[-0.2425, 5.5261, 6.3357], [-3.7027, 4.3228, 6.1920], [2.3504, -7.2869, 4.4257]], "species": ["Ag", "Ag", "Na", "Na", "Se", "Se", "Se", "Se", "Se", "Se", "Tc", "Tc"], "frac_coords": [[0.4577, 0.4577, 0.2663], [0.5423, 0.5423, 0.7337], [0.1285, 0.1285, 0.0753], [0.8715, 0.8715, 0.9247], [0.5000, 0.5000, 0.0000], [0.2979, 0.2979, 0.2126], [0.6807, 0.6807, 0.4010], [0.0000, 0.0000, 0.5000], [0.3193, 0.3193, 0.5990], [0.7021, 0.7021, 0.7874], [0.8419, 0.8419, 0.4101], [0.1581, 0.1581, 0.5899]], "energy_ev_per_atom": -4.46}

=====

[3]
{"formula": "NaTcAgSe3", "functional": "PBE", "state": "relaxed", "lattice_angstrom": [[3.6518, 0.0000, 0.0000], [0.0000, 11.2348, 0.0000], [0.0000, 0.0000, 13.1886]], "species": ["Ag", "Ag", "Ag", "Ag", "Na", "Na", "Na", "Na", "Se", "Se", "Se", "Se", "Se", "Se", "Se", "Se", "Se", "Se", "Se", "Se", "Tc", "Tc", "Tc", "Tc"], "frac_coords": [[0.7500, 0.7554, 0.2145], [0.7500, 0.2554, 0.2855], [0.2500, 0.7446, 0.7145], [0.2500, 0.2446, 0.7855], [0.2500, 0.8060, 0.0208], [0.2500, 0.3060, 0.4792], [0.7500, 0.6940, 0.5208], [0.7500, 0.1940, 0.9792], [0.7500, 0.5600, 0.1159], [0.2500, 0.2835, 0.1381], [0.7500, 0.9759, 0.1403], [0.7500, 0.4759, 0.3597], [0.2500, 0.7835, 0.3619], [0.7500, 0.0600, 0.3841], [0.2500, 0.9400, 0.6159], [0.7500, 0.2165, 0.6381], [0.2500, 0.5241, 0.6403], [0.2500, 0.0241, 0.8597], [0.7500, 0.7165, 0.8619], [0.2500, 0.4400, 0.8841], [0.2500, 0.4711, 0.2219], [0.2500, 0.9711, 0.2781], [0.7500, 0.0289, 0.7219], [0.7500, 0.5289, 0.7781]], "energy_ev_per_atom": -4.45}

=====

[4]
{"formula": "NaAgTeWSe2", "functional": "PBE", "state": "relaxed", "lattice_angstrom": [[1.7984, -7.3450, 0.0000], [1.7984, 7.3450, 0.0000], [0.0000, 0.0000, 10.4680]], "species": ["Ag", "Ag", "Na", "Na", "Se", "Se", "Se", "Se", "Te", "Te", "W", "W"], "frac_coords": [[0.9424, 0.0576, 0.2500], [0.0576, 0.9424, 0.7500], [0.2705, 0.7295, 0.2500], [0.7295, 0.2705, 0.7500], [0.8722, 0.1278, 0.0285], [0.8722, 0.1278, 0.4715], [0.1278, 0.8722, 0.5285], [0.1278, 0.8722, 0.9715], [0.5893, 0.4107, 0.2500], [0.4107, 0.5893, 0.7500], [0.5000, 0.5000, 0.0000], [0.5000, 0.5000, 0.5000]], "energy_ev_per_atom": -4.69}